[1]
## Pr2Ga2Se (PBE-GGA)

Data for Pr2Ga2Se after structural relaxation.

Results
formation energy (no corrections)	-1.204	eV per atom
DFT total energy	-5.0231	eV/atom

Unit cell a=8.258 b=8.258 c=8.258 alpha=29.98 beta=29.98 gamma=29.98
Atoms (fractional coordinates):
1 Pr 0.092 0.092 0.092
2 Pr 0.908 0.908 0.908
3 Ga 0.323 0.323 0.323
4 Ga 0.677 0.677 0.677
5 Se 0.500 0.500 0.500

=====

[2]
## TaAl2Os (PBE-GGA)

Data for TaAl2Os after structural relaxation.

Results
energy relative to the lowest polymorph listed for this composition	225.6	meV per atom
DFT total energy	-7.8018	eV/atom
formation energy	-160	meV per atom

Unit cell a=2.864 b=4.382 c=4.989 alpha=90.00 beta=98.92 gamma=90.00
Atoms (fractional coordinates):
1 Ta 0.000 0.000 0.000
2 Al 0.515 0.000 0.509
3 Al 0.592 0.500 0.239
4 Os 0.205 0.500 0.721

=====

[3]
## Li2BeOs (PBE-GGA)

Data for Li2BeOs after structural relaxation.

Results
DFT total energy	-4.5290	eV/atom
formation energy	167	meV per atom

Unit cell a=2.612 b=2.612 c=8.766 alpha=90.00 beta=90.00 gamma=113.10
Atoms (fractional coordinates):
1 Li 0.000 0.000 0.000
2 Li 0.500 0.500 0.299
3 Be 0.500 0.500 0.758
4 Os 0.000 0.000 0.550

=====

[4]
## Cs2K4I3Br2 (PBE-GGA)

Data for Cs2K4I3Br2 after structural relaxation.

Results
formation energy (no corrections)	-1.364	eV per atom
DFT total energy	-2.6453	eV/atom

Unit cell a=15.241 b=15.241 c=15.241 alpha=156.19 beta=156.19 gamma=33.93
Atoms (fractional coordinates):
1 Cs 0.211 0.211 0.000
2 Cs 0.789 0.789 0.000
3 K 0.080 0.580 0.500
4 K 0.420 0.920 0.500
5 K 0.580 0.080 0.500
6 K 0.920 0.420 0.500
7 I 0.347 0.347 0.000
8 I 0.500 0.500 0.000
9 I 0.653 0.653 0.000
10 Br 0.086 0.086 0.000
11 Br 0.914 0.914 0.000

=====

[5]
## ReGeS3 (PBE-GGA)

Data for ReGeS3 after structural relaxation.

Results
formation energy (no corrections)	0.421	eV per atom
energy relative to the lowest polymorph listed for this composition	0.0	meV per atom
DFT total energy	-5.4685	eV/atom

Unit cell a=4.665 b=4.665 c=4.665 alpha=90.00 beta=90.00 gamma=90.00
Atoms (fractional coordinates):
1 Re 0.000 0.000 0.000
2 Ge 0.500 0.500 0.500
3 S 0.000 0.000 0.500
4 S 0.000 0.500 0.000
5 S 0.500 0.000 0.000

=====

[6]
## Er2TmSb (PBE-GGA)

Data for Er2TmSb after structural relaxation.

Results
formation energy (no corrections)	-0.269	eV per atom
energy relative to the lowest polymorph listed for this composition	263.1	meV per atom
DFT total energy	-4.6993	eV/atom

Unit cell a=10.696 b=10.696 c=10.696 alpha=19.22 beta=19.22 gamma=19.22
Atoms (fractional coordinates):
1 Er 0.244 0.244 0.244
2 Er 0.756 0.756 0.756
3 Tm 0.000 0.000 0.000
4 Sb 0.500 0.500 0.500

=====

[7]
## AlNiTe2 (PBE-GGA)

Data for AlNiTe2 after structural relaxation.

Results
formation energy (no corrections)	0.107	eV per atom
DFT total energy	-3.8445	eV/atom

Unit cell a=6.659 b=6.659 c=6.659 alpha=153.05 beta=139.43 gamma=49.38
Atoms (fractional coordinates):
1 Al 0.000 0.000 0.000
2 Ni 0.834 0.334 0.500
3 Te 0.345 0.845 0.500
4 Te 0.637 0.637 0.000

=====

[8]
## PmSmAs2Rh2 (PBE-GGA)

Data for PmSmAs2Rh2 after structural relaxation.

Results
DFT total energy	-6.6575	eV/atom
formation energy	-1079	meV per atom

Unit cell a=4.246 b=4.246 c=8.054 alpha=90.00 beta=90.00 gamma=120.00
Atoms (fractional coordinates):
1 Pm 0.000 0.000 0.000
2 Sm 0.000 0.000 0.500
3 As 0.333 0.667 0.749
4 As 0.667 0.333 0.251
5 Rh 0.333 0.667 0.252
6 Rh 0.667 0.333 0.748

=====

[9]
## CaGdLu (PBE-GGA)

Data for CaGdLu after structural relaxation.

Results
energy relative to the lowest polymorph listed for this composition	0.0	meV per atom
DFT total energy	-6.7887	eV/atom
formation energy	79	meV per atom

Unit cell a=8.087 b=8.087 c=8.087 alpha=153.88 beta=153.88 gamma=37.28
Atoms (fractional coordinates):
1 Ca 0.000 0.000 0.000
2 Gd 0.318 0.318 0.000
3 Lu 0.673 0.673 0.000

=====

[10]
## BaZn2NiHg (PBE-GGA)

Data for BaZn2NiHg after structural relaxation.

Results
energy relative to the lowest polymorph listed for this composition	0.0	meV per atom
DFT total energy	-2.3116	eV/atom
formation energy	-201	meV per atom

Unit cell a=4.825 b=4.825 c=5.121 alpha=90.00 beta=90.00 gamma=90.00
Atoms (fractional coordinates):
1 Ba 0.000 0.000 0.000
2 Zn 0.000 0.500 0.500
3 Zn 0.500 0.000 0.500
4 Ni 0.500 0.500 0.500
5 Hg 0.500 0.500 0.000

=====

[11]
## Pm2Dy6Ho3Pu (PBE-GGA)

Data for Pm2Dy6Ho3Pu after structural relaxation.

Results
DFT total energy	-5.3843	eV/atom
formation energy	47	meV per atom

Unit cell a=6.143 b=6.143 c=11.720 alpha=95.04 beta=95.04 gamma=120.04
Atoms (fractional coordinates):
1 Pm 0.167 0.833 0.000
2 Pm 0.833 0.167 0.000
3 Dy 0.087 0.417 0.749
4 Dy 0.254 0.254 0.251
5 Dy 0.417 0.087 0.749
6 Dy 0.583 0.913 0.251
7 Dy 0.746 0.746 0.749
8 Dy 0.913 0.583 0.251
9 Ho 0.000 0.000 0.500
10 Ho 0.333 0.667 0.500
11 Ho 0.667 0.333 0.500
12 Pu 0.500 0.500 0.000

=====

[12]
## Li2CdTeH (PBE-GGA)

Data for Li2CdTeH after structural relaxation.

Results
DFT total energy	-2.6210	eV/atom

Unit cell a=4.533 b=4.533 c=4.300 alpha=90.00 beta=90.00 gamma=90.00
Atoms (fractional coordinates):
1 Li 0.000 0.500 0.000
2 Li 0.500 0.000 0.000
3 Cd 0.000 0.000 0.500
4 Te 0.500 0.500 0.500
5 H 0.000 0.000 0.000

=====

[13]
## Tl2VCrAu (PBE-GGA)

Data for Tl2VCrAu after structural relaxation.

Results
DFT total energy	-3.9765	eV/atom
formation energy	1374	meV per atom

Unit cell a=5.332 b=5.332 c=5.106 alpha=90.00 beta=90.00 gamma=90.00
Atoms (fractional coordinates):
1 Tl 0.000 0.500 0.000
2 Tl 0.500 0.000 0.000
3 V 0.000 0.000 0.500
4 Cr 0.500 0.500 0.500
5 Au 0.500 0.500 0.000

=====

What magnetic moment values result from the calculations? In sequence: 0.000 0.000 0.000 0.000 0.718 0.000 0.000 0.000 7.720 0.000 6.315 0.000 5.038 μB/f.u..